# 1
This record from the Open Quantum Materials Database describes a relaxed CuAg crystal. The functional is GGA-PBE.

Summary:
ΔE_f = 0.103 eV/atom
Theoretical density = 9.475 Mg/m³

abc: 22.481 2.842 4.736
angles: 90.00 96.97 90.00
Space group Cm (No. 8)
Unique sites:
Cu1 0.000 0.000 0.000
Cu2 0.003 0.500 0.533
Cu3 0.092 0.000 0.719
Cu4 0.200 0.000 0.409
Cu5 0.292 0.500 0.611
Ag1 0.097 0.500 0.230
Ag2 0.192 0.500 0.890
Ag3 0.297 0.000 0.122
Ag4 0.397 0.000 0.805
Ag5 0.407 0.500 0.314

# 2
This record from the Open Quantum Materials Database describes a relaxed Cu3Ag2 crystal. The functional is GGA-PBE.

Summary:
ΔE_f = 0.086 eV/atom
Excess energy over the best structure of this formula in the dataset = 21 kJ/mol of formula units
Theoretical density = 9.434 Mg/m³

abc: 10.951 2.816 9.362
angles: 90.00 97.61 90.00
Space group Cm (No. 8)
Unique sites:
Cu1 0.000 0.000 0.000
Cu2 0.001 0.500 0.477
Cu3 0.094 0.000 0.289
Cu4 0.112 0.500 0.840
Cu5 0.186 0.500 0.102
Cu6 0.302 0.000 0.913
Ag1 0.183 0.000 0.626
Ag2 0.289 0.500 0.409
Ag3 0.393 0.000 0.191
Ag4 0.417 0.500 0.706

# 3
This record from the Open Quantum Materials Database describes a relaxed Cu4Ag5 crystal. The functional is GGA-PBE.

Summary:
ΔE_f = 0.100 eV/atom
Excess energy over the best structure of this formula in the dataset = 54 kJ/mol of formula units
Theoretical density = 9.600 Mg/m³

abc: 8.867 3.931 8.353
angles: 90.00 109.44 90.00
Space group C2/m (No. 12)
Unique sites:
Cu1 0.001 0.000 0.335
Cu2 0.168 0.500 0.227
Ag1 0.000 0.000 0.000
Ag2 0.161 0.500 0.881
Ag3 0.166 0.500 0.554

# 4
This record from the Open Quantum Materials Database describes a relaxed Cu4Ag5 crystal. The functional is GGA-PBE.

Summary:
ΔE_f = 0.099 eV/atom
Excess energy over the best structure of this formula in the dataset = 53 kJ/mol of formula units
Theoretical density = 9.619 Mg/m³

abc: 14.192 2.843 8.086
angles: 90.00 122.90 90.00
Space group C2/m (No. 12)
Unique sites:
Cu1 0.055 0.000 0.331
Cu2 0.171 0.000 0.999
Ag1 0.000 0.500 0.000
Ag2 0.108 0.500 0.672
Ag3 0.219 0.500 0.326

# 5
This record from the Open Quantum Materials Database describes a relaxed CuAg crystal. The functional is GGA-PBE.

Summary:
ΔE_f = 0.095 eV/atom
Theoretical density = 9.403 Mg/m³

abc: 2.8252 2.8252 65.6899
angles: 90.00 90.00 120.00
Space group R3m (No. 160, hexagonal axes)
Unique sites:
Cu1 0.0000 0.0000 0.0000
Cu2 0.0000 0.0000 0.0876
Cu3 0.0000 0.0000 0.1920
Cu4 0.0000 0.0000 0.3919
Cu5 0.0000 0.0000 0.6957
Ag1 0.0000 0.0000 0.2999
Ag2 0.0000 0.0000 0.4922
Ag3 0.0000 0.0000 0.5957
Ag4 0.0000 0.0000 0.7878
Ag5 0.0000 0.0000 0.8916

# 6
This record from the Open Quantum Materials Database describes a relaxed CuAg crystal. The functional is GGA-PBE.

Summary:
ΔE_f = 0.053 eV/atom
Theoretical density = 9.567 Mg/m³

abc: 2.860 2.860 18.189
angles: 90.00 90.00 90.00
Space group P4mm (No. 99)
Unique sites:
Cu1 0.000 0.000 0.000
Cu2 0.000 0.000 0.162
Cu3 0.000 0.000 0.798
Cu4 0.500 0.500 0.081
Cu5 0.500 0.500 0.244
Ag1 0.000 0.000 0.345
Ag2 0.000 0.000 0.580
Ag3 0.500 0.500 0.463
Ag4 0.500 0.500 0.698
Ag5 0.500 0.500 0.898